# CdBiP2S | Alexandria | PBE-GGA | optimized geometry
# Calculated total energy in eV per cell: -15.37
# Energy above the lowest structure with this stoichiometry in eV/atom: 0.000
# Crystal system: tetragonal
data_CdBiP2S
_symmetry_space_group_name_H-M 'P 4/m m m'
_symmetry_Int_Tables_number 123
_symmetry_space_group_name_Hall '-P 4 2'
_cell_length_a 4.954
_cell_length_b 4.954
_cell_length_c 4.952
_cell_angle_alpha 90.00
_cell_angle_beta 90.00
_cell_angle_gamma 90.00
loop_
_atom_site_label
_atom_site_type_symbol
_atom_site_fract_x
_atom_site_fract_y
_atom_site_fract_z
_atom_site_occupancy
Cd1 Cd 0.000 0.000 0.000 1
Bi1 Bi 0.500 0.500 0.500 1
P1 P 0.000 0.500 0.000 1
S1 S 0.000 0.000 0.500 1


# HoU2TaC4 | Alexandria | PBE-GGA | optimized geometry
# Calculated total energy in eV per cell: -314.67
# ΔH_f (0 K) in meV per atom: -346
# Crystal system: orthorhombic
data_HoU2TaC4
_symmetry_space_group_name_H-M 'I m m a'
_symmetry_Int_Tables_number 74
_symmetry_space_group_name_Hall '-I 2b 2'
_cell_length_a 6.732
_cell_length_b 6.909
_cell_length_c 9.717
_cell_angle_alpha 90.00
_cell_angle_beta 90.00
_cell_angle_gamma 90.00
loop_
_atom_site_label
_atom_site_type_symbol
_atom_site_fract_x
_atom_site_fract_y
_atom_site_fract_z
_atom_site_occupancy
Ho1 Ho 0.000 0.000 0.000 1
U1 U 0.000 0.000 0.500 1
U2 U 0.250 0.250 0.250 1
Ta1 Ta 0.250 0.250 0.750 1
C1 C 0.000 0.015 0.746 1
C2 C 0.233 0.250 0.510 1


# InCuW2 | Alexandria | PBE-GGA | optimized geometry
# Calculated total energy in eV per cell: -61.16
# ΔH_f (0 K) in meV per atom: 541
# Crystal system: tetragonal
data_InCuW2
_symmetry_space_group_name_H-M 'I -4 m 2'
_symmetry_Int_Tables_number 119
_symmetry_space_group_name_Hall 'I -4 -2'
_cell_length_a 4.104
_cell_length_b 4.104
_cell_length_c 7.752
_cell_angle_alpha 90.00
_cell_angle_beta 90.00
_cell_angle_gamma 90.00
loop_
_atom_site_label
_atom_site_type_symbol
_atom_site_fract_x
_atom_site_fract_y
_atom_site_fract_z
_atom_site_occupancy
In1 In 0.000 0.000 0.000 1
Cu1 Cu 0.000 0.500 0.250 1
W1 W 0.000 0.000 0.500 1
W2 W 0.000 0.500 0.750 1